Record 1
Crystalline LiBeH8CNOF4 at its relaxed geometry, computed with GGA-PBEsol.

Summary:
Total DFT energy (no corrections) = -0.1913 hartree per atom
Density = 1.65 g/cm³

Structure (extended XYZ):
```
68
Lattice="4.741 0.000 0.000 0.000 10.074 -0.029 0.000 -2.336 11.953" Properties=species:S:1:pos:R:3 pbc="T T T"
Li 3.205 7.431 6.030
Li 1.536 0.308 5.894
Li 0.835 5.345 5.880
Li 3.906 2.394 6.044
Be 3.888 -0.187 7.552
Be 1.518 2.888 4.386
Be 0.852 7.925 4.372
Be 3.222 4.851 7.538
H 1.124 7.060 10.905
H 0.211 -1.575 10.386
H 3.617 0.679 1.019
H 2.844 0.990 3.295
H 2.009 -1.582 10.324
H 0.200 6.757 8.663
H 1.060 8.123 8.112
H 0.287 2.541 0.153
H 2.731 9.320 1.600
H 0.473 1.712 8.644
H 2.571 6.018 3.246
H 3.431 4.653 3.797
H 1.176 2.403 1.503
H 3.494 5.716 1.004
H 2.170 1.720 8.678
H 2.159 3.462 10.371
H 3.564 5.335 10.421
H 0.361 3.456 10.309
H 4.267 6.027 3.280
H 2.084 7.578 0.139
H 1.247 2.022 10.920
H 2.582 4.277 1.553
H 3.547 0.298 10.435
H 4.540 0.981 3.260
H 3.680 -0.384 3.812
H 1.310 3.085 8.127
H 4.529 9.314 1.538
H 2.657 0.160 11.785
H 1.194 7.441 1.489
H 4.454 5.197 11.771
H 1.897 6.749 8.629
H 4.380 4.283 1.615
C 1.103 7.883 10.177
C 3.638 -0.144 1.747
C 1.267 2.846 10.191
C 3.473 4.893 1.733
N 1.311 2.302 8.817
N 3.430 5.437 3.107
N 1.060 7.339 8.803
N 3.681 0.400 3.121
O 1.206 2.681 0.550
O 3.534 5.058 11.374
O 1.164 7.718 0.535
O 3.577 0.021 11.389
F 1.437 -0.733 4.374
F 1.149 7.051 3.093
F 3.591 0.687 8.831
F 1.413 7.115 5.596
F 1.221 2.014 3.107
F 1.672 4.744 7.411
F 3.783 5.661 6.314
F 0.698 -0.294 7.425
F 3.304 8.472 7.549
F 3.068 2.995 4.513
F 4.043 8.032 4.499
F 3.520 5.724 8.817
F 3.328 0.623 6.328
F 0.933 4.304 4.360
F 0.957 2.078 5.610
F 3.807 3.435 7.564
```

***

Record 2
Crystalline BeCN2F at its relaxed geometry, computed with GGA-PBEsol.

Summary:
Formation energy (no corrections) = 1707 meV per atom
Density = 2.85 g/cm³

Structure (extended XYZ):
```
5
Lattice="-2.072 -0.561 2.274 -2.273 -1.327 -2.399 1.396 -3.243 0.472" Properties=species:S:1:pos:R:3 pbc="T T T"
Be 0.000 0.000 0.000
C -1.475 -2.566 0.173
N 0.698 -1.621 0.236
N -1.136 -0.664 -1.200
F -1.036 -0.281 1.137
```

***

Record 3
Crystalline YBeCF2 at its relaxed geometry, computed with GGA-PBEsol.

Summary:
Formation energy (no corrections) = -718 meV per atom
Density = 2.88 g/cm³

Structure (extended XYZ):
```
5
Lattice="-3.883 -1.256 -0.794 1.252 -3.961 0.142 -0.950 -0.127 4.848" Properties=species:S:1:pos:R:3 pbc="T T T"
Y 0.000 0.000 0.000
Be -1.790 -2.672 2.098
C -0.475 -0.064 2.424
F 0.626 -1.981 0.071
F -1.941 -0.628 -0.397
```

***

Record 4
Crystalline BeFeHgC2 at its relaxed geometry, computed with GGA-PBEsol.

Summary:
Density = 6.29 g/cm³
Energy of formation = 1437 kJ/mol of formula units

Structure (extended XYZ):
```
5
Lattice="4.197 0.000 0.000 0.000 4.197 0.000 0.000 0.000 4.338" Properties=species:S:1:pos:R:3 pbc="T T T"
Be 0.000 0.000 2.169
C 0.000 2.099 0.000
C 2.099 0.000 0.000
Hg 0.000 0.000 0.000
Fe 2.099 2.099 2.169
```

***

Record 5
Crystalline SrBe2FeC at its relaxed geometry, computed with GGA-PBEsol.

Summary:
Density = 2.84 g/cm³
Energy of formation = 1425 kJ/mol of formula units

Structure (extended XYZ):
```
5
Lattice="4.243 0.000 0.000 0.000 4.886 0.000 0.000 0.000 4.886" Properties=species:S:1:pos:R:3 pbc="T T T"
Sr 0.000 0.000 0.000
C 2.122 0.000 0.000
Fe 2.122 2.443 2.443
Be 0.000 0.000 2.443
Be 0.000 2.443 0.000
```

***

Record 6
Crystalline BeGa2C at its relaxed geometry, computed with GGA-PBEsol.

Summary:
Density = 5.45 g/cm³
Energy of formation = 492 kJ/mol of formula units

Structure (extended XYZ):
```
4
Lattice="4.104 0.000 0.000 2.052 3.554 0.000 2.052 1.185 3.351" Properties=species:S:1:pos:R:3 pbc="T T T"
Be 0.000 0.000 0.000
C 4.104 2.370 1.676
Ga 2.052 1.185 0.838
Ga 6.156 3.554 2.513
```

***

Record 7
Crystalline MnBe2GaC at its relaxed geometry, computed with GGA-PBEsol.

Summary:
Density = 4.45 g/cm³
Energy of formation = 242 kJ/mol of formula units

Structure (extended XYZ):
```
5
Lattice="3.435 0.000 0.000 0.000 3.435 0.000 0.000 0.000 4.893" Properties=species:S:1:pos:R:3 pbc="T T T"
Be 0.000 1.717 0.000
Be 1.717 0.000 0.000
C 0.000 0.000 0.000
Mn 1.717 1.717 2.446
Ga 0.000 0.000 2.446
```

***

Record 8
Crystalline BeGaMo2C at its relaxed geometry, computed with GGA-PBEsol.

Summary:
Density = 7.79 g/cm³
Energy of formation = 437 kJ/mol of formula units

Structure (extended XYZ):
```
5
Lattice="-1.740 0.084 2.571 -2.883 -2.759 -1.861 2.234 -3.430 1.624" Properties=species:S:1:pos:R:3 pbc="T T T"
Be 0.000 0.000 0.000
Mo 1.117 -1.715 0.812
Mo -1.442 -1.380 -0.931
C -0.870 0.042 1.285
Ga -1.195 -3.053 1.167
```

***

Record 9
Crystalline BeGa2SiC at its relaxed geometry, computed with GGA-PBEsol.

Summary:
Formation energy (no corrections) = 468 meV per atom
Density = 4.74 g/cm³

Structure (extended XYZ):
```
5
Lattice="3.245 0.000 0.000 0.000 4.512 0.000 0.000 0.000 4.512" Properties=species:S:1:pos:R:3 pbc="T T T"
Be 1.622 0.000 0.000
Si 1.622 2.256 2.256
C 0.000 0.000 0.000
Ga 0.000 0.000 2.256
Ga 0.000 2.256 0.000
```

***

Record 10
Crystalline YBe2GeC at its relaxed geometry, computed with GGA-PBEsol.

Summary:
Density = 4.59 g/cm³
Energy of formation = 18 kJ/mol of formula units

Structure (extended XYZ):
```
5
Lattice="3.829 0.000 0.000 0.000 3.829 0.000 0.000 0.000 4.723" Properties=species:S:1:pos:R:3 pbc="T T T"
Y 0.000 0.000 2.361
Be 0.000 1.915 0.000
Be 1.915 0.000 0.000
Ge 1.915 1.915 2.361
C 0.000 0.000 0.000
```

***

Record 11
Crystalline HfBeSb2C at its relaxed geometry, computed with GGA-PBEsol.

Summary:
Formation energy (no corrections) = 1324 meV per atom
Density = 5.95 g/cm³

Structure (extended XYZ):
```
5
Lattice="-1.865 3.661 0.580 -2.266 -0.371 -4.951 -4.317 -2.542 2.166" Properties=species:S:1:pos:R:3 pbc="T T T"
Sb -2.158 -1.271 1.083
Sb -1.133 -0.185 -2.476
C -0.933 1.831 0.290
Hf 0.000 0.000 0.000
Be -4.224 0.374 -1.103
```

***

Record 12
Crystalline BeHg2C at its relaxed geometry, computed with GGA-PBEsol.

Summary:
Density = 12.03 g/cm³
Energy of formation = 578 kJ/mol of formula units

Structure (extended XYZ):
```
4
Lattice="4.352 0.000 0.000 2.176 3.769 0.000 2.176 1.256 3.553" Properties=species:S:1:pos:R:3 pbc="T T T"
Be 0.000 0.000 0.000
C 4.352 2.513 1.777
Hg 2.176 1.256 0.888
Hg 6.528 3.769 2.665
```

***

Q: What is the formula in the second record?
A: BeCN2F

***

Q: Among the records above, which one has the highest density?
A: BeHg2C

***

Q: Look up the density of the seventh one.
A: 4.45 g/cm³

***

Q: Among the records above, which one has the highest density?
A: BeHg2C